Record 1
Crystalline IrOs2Se at its relaxed geometry. Source: Alexandria via LeMat-Bulk, functional PBE-GGA.

abc: 4.727 4.727 4.934
angles: 104.00 104.00 34.67
Element x y z (fractional)
Ir (0.000, 0.000, 0.000)
Os (0.242, 0.242, 0.768)
Os (0.758, 0.758, 0.232)
Se (0.500, 0.500, 0.500)

Calculated values
Total moment, μB per cell: 0.00
Crystal system: monoclinic
Space group: C2/m, No. 12
Formation energy (no corrections), kJ per mole of atoms: 58.9

Record 2
Crystalline IrOsSe2 at its relaxed geometry. Source: Alexandria via LeMat-Bulk, functional PBE-GGA.

abc: 8.016 8.016 8.016
angles: 24.36 24.36 24.36
Element x y z (fractional)
Ir (0.000, 0.000, 0.000)
Os (0.500, 0.500, 0.500)
Se (0.399, 0.399, 0.399)
Se (0.601, 0.601, 0.601)

Calculated values
Total moment, μB per cell: 0.00
Crystal system: trigonal
Space group: R-3m, No. 166
Energy above the lowest structure with this stoichiometry, eV/f.u.: 1.921
Formation energy (no corrections), kJ per mole of atoms: 60.4

Record 3
Crystalline Ir2OsSe at its relaxed geometry. Source: Alexandria via LeMat-Bulk, functional PBE-GGA.

abc: 5.355 5.355 5.355
angles: 149.40 128.42 61.17
Element x y z (fractional)
Ir (0.242, 0.242, 0.000)
Ir (0.758, 0.758, 0.000)
Os (0.500, 0.000, 0.500)
Se (0.000, 0.500, 0.500)

Calculated values
Total moment, μB per cell: 0.81
Crystal system: orthorhombic
Space group: Immm, No. 71
Formation energy (no corrections), kJ per mole of atoms: 59.4

Record 4
Crystalline Ir2OsSe at its relaxed geometry. Source: Alexandria via LeMat-Bulk, functional PBE-GGA.

abc: 4.771 4.771 4.925
angles: 103.35 103.35 34.57
Element x y z (fractional)
Ir (0.000, 0.000, 0.000)
Ir (0.241, 0.241, 0.740)
Os (0.491, 0.491, 0.532)
Se (0.776, 0.776, 0.224)

Calculated values
Total moment, μB per cell: 0.00
Crystal system: monoclinic
Space group: Cm, No. 8
Formation energy (no corrections), kJ per mole of atoms: 46.3

Record 5
Crystalline Ir2OsSe at its relaxed geometry. Source: Alexandria via LeMat-Bulk, functional PBE-GGA.

abc: 4.046 5.443 5.443
angles: 30.40 90.00 90.00
Element x y z (fractional)
Ir (0.000, 0.000, 0.000)
Ir (0.500, 0.359, 0.359)
Os (0.500, 0.611, 0.611)
Se (0.000, 0.755, 0.755)

Calculated values
Total moment, μB per cell: 0.00
Crystal system: orthorhombic
Space group: Amm2, No. 38
Formation energy (no corrections), kJ per mole of atoms: 47.5

Record 6
Crystalline IrOs2Se at its relaxed geometry. Source: Alexandria via LeMat-Bulk, functional PBE-GGA.

abc: 3.934 3.934 3.902
angles: 90.00 90.00 90.00
Element x y z (fractional)
Ir (0.000, 0.000, 0.000)
Os (0.000, 0.500, 0.500)
Os (0.500, 0.000, 0.500)
Se (0.500, 0.500, 0.000)

Calculated values
Total moment, μB per cell: 0.00
Crystal system: tetragonal
Space group: P4/mmm, No. 123
Formation energy (no corrections), kJ per mole of atoms: 83.9

Record 7
Crystalline Ir2OsSe at its relaxed geometry. Source: Alexandria via LeMat-Bulk, functional PBE-GGA.

abc: 4.678 4.678 4.678
angles: 128.69 128.69 75.51
Element x y z (fractional)
Ir (0.000, 0.000, 0.000)
Ir (0.750, 0.250, 0.500)
Os (0.250, 0.750, 0.500)
Se (0.500, 0.500, 0.000)

Calculated values
Total moment, μB per cell: 0.00
Crystal system: tetragonal
Space group: I-4m2, No. 119
Formation energy (no corrections), kJ per mole of atoms: 62.6

Record 8
Crystalline IrOs2Se at its relaxed geometry. Source: Alexandria via LeMat-Bulk, functional PBE-GGA.

abc: 4.604 4.604 2.851
angles: 90.00 90.00 90.00
Element x y z (fractional)
Ir (0.000, 0.000, 0.000)
Os (0.000, 0.500, 0.500)
Os (0.500, 0.000, 0.500)
Se (0.500, 0.500, 0.000)

Calculated values
Total moment, μB per cell: 0.05
Crystal system: tetragonal
Space group: P4/mmm, No. 123
Formation energy (no corrections), kJ per mole of atoms: 74.7

Record 9
Crystalline IrOs2Se at its relaxed geometry. Source: Alexandria via LeMat-Bulk, functional PBE-GGA.

abc: 2.751 2.751 9.597
angles: 90.00 90.00 120.93
Element x y z (fractional)
Ir (0.000, 0.000, 0.000)
Os (0.500, 0.500, 0.242)
Os (0.500, 0.500, 0.758)
Se (0.000, 0.000, 0.500)

Calculated values
Total moment, μB per cell: 0.00
Crystal system: orthorhombic
Space group: Cmmm, No. 65
Formation energy (no corrections), kJ per mole of atoms: 80.4

Record 10
Crystalline Ir2OsSe at its relaxed geometry. Source: Alexandria via LeMat-Bulk, functional PBE-GGA.

abc: 2.820 3.713 5.864
angles: 90.00 90.00 90.00
Element x y z (fractional)
Ir (0.000, 0.000, 0.000)
Ir (0.500, 0.500, 0.255)
Os (0.000, 0.000, 0.469)
Se (0.500, 0.500, 0.758)

Calculated values
Total moment, μB per cell: 0.00
Crystal system: orthorhombic
Space group: Pmm2, No. 25
Formation energy (no corrections), kJ per mole of atoms: 52.1

Record 11
Crystalline IrOsSe2 at its relaxed geometry. Source: Alexandria via LeMat-Bulk, functional PBE-GGA.

abc: 2.855 4.509 5.043
angles: 90.00 90.00 90.00
Element x y z (fractional)
Ir (0.000, 0.000, 0.000)
Os (0.500, 0.000, 0.500)
Se (0.000, 0.500, 0.500)
Se (0.500, 0.500, 0.000)

Calculated values
Total moment, μB per cell: 0.00
Crystal system: orthorhombic
Space group: Pmmm, No. 47
Energy above the lowest structure with this stoichiometry, eV/f.u.: 2.899
Formation energy (no corrections), kJ per mole of atoms: 84.1

Record 12
Crystalline IrOsSe2 at its relaxed geometry. Source: Alexandria via LeMat-Bulk, functional PBE-GGA.

abc: 6.760 6.760 6.760
angles: 131.38 131.38 71.22
Element x y z (fractional)
Ir (0.000, 0.000, 0.000)
Ir (0.750, 0.250, 0.500)
Os (0.250, 0.750, 0.500)
Os (0.500, 0.500, 0.000)
Se (0.130, 0.625, 0.005)
Se (0.375, 0.380, 0.505)
Se (0.620, 0.125, 0.995)
Se (0.875, 0.870, 0.495)

Calculated values
Total moment, μB per cell: 0.00
Crystal system: tetragonal
Space group: I-42d, No. 122
Energy above the lowest structure with this stoichiometry, eV/f.u.: 1.279
Formation energy (no corrections), kJ per mole of atoms: 45.0